! PrPaPt3, relaxed, DFT GGA-PBE; values from VASP
&SYSTEM
  ibrav = 0, nat = 10, ntyp = 3
/
ATOMIC_SPECIES
Pr 140.91 Pr.upf
Pa 231.04 Pa.upf
Pt 195.08 Pt.upf
ATOMIC_POSITIONS crystal
Pr 0.750 0.569 0.138
Pr 0.250 0.431 0.862
Pa 0.250 0.802 0.604
Pa 0.750 0.198 0.396
Pt 0.750 0.614 0.714
Pt 0.250 0.899 0.286
Pt 0.000 0.000 0.000
Pt 0.500 0.000 0.000
Pt 0.750 0.101 0.714
Pt 0.250 0.386 0.286
CELL_PARAMETERS angstrom
5.334 0.000 0.000
0.000 4.987 -2.624
0.000 0.856 7.676
! - SG = Cmcm, No. 63
! - calculated total energy (eV/atom) = -7.358
! - magnetization (μB/atom) = 0.0000
! - calculated formation energy (eV/atom) = -0.878

---

! PrPaSi2Pt2, relaxed, DFT GGA-PBE; values from VASP
&SYSTEM
  ibrav = 0, nat = 6, ntyp = 4
/
ATOMIC_SPECIES
Pa 231.04 Pa.upf
Pr 140.91 Pr.upf
Pt 195.08 Pt.upf
Si 28.09 Si.upf
ATOMIC_POSITIONS crystal
Pa 0.000 0.000 0.500
Pr 0.000 0.000 0.000
Pt 0.667 0.333 0.725
Pt 0.333 0.667 0.275
Si 0.333 0.667 0.740
Si 0.667 0.333 0.260
CELL_PARAMETERS angstrom
-2.668 -0.505 3.266
0.081 -2.861 -3.138
5.587 -4.146 3.923
! - SG = P-3m1, No. 164
! - calculated total energy (eV/atom) = -7.256
! - magnetization (μB/atom) = 0.0000

---

! PrPaSi2Pt4, relaxed, DFT GGA-PBE; values from VASP
&SYSTEM
  ibrav = 0, nat = 8, ntyp = 4
/
ATOMIC_SPECIES
Pa 231.04 Pa.upf
Pt 195.08 Pt.upf
Si 28.09 Si.upf
Pr 140.91 Pr.upf
ATOMIC_POSITIONS crystal
Pa 0.000 0.000 0.000
Pt 0.000 0.500 0.780
Pt 0.500 0.000 0.780
Pt 0.000 0.500 0.220
Pt 0.500 0.000 0.220
Si 0.500 0.500 0.370
Si 0.500 0.500 0.630
Pr 0.000 0.000 0.500
CELL_PARAMETERS angstrom
4.088 0.000 0.000
0.000 4.088 0.000
0.000 0.000 9.375
! - SG = P4/mmm, No. 123
! - calculated total energy (eV/atom) = -7.060
! - magnetization (μB/atom) = 0.0000

---

! Pr2PaSn3Pt4, relaxed, DFT GGA-PBE; values from VASP
&SYSTEM
  ibrav = 0, nat = 10, ntyp = 4
/
ATOMIC_SPECIES
Pt 195.08 Pt.upf
Pa 231.04 Pa.upf
Pr 140.91 Pr.upf
Sn 118.71 Sn.upf
ATOMIC_POSITIONS crystal
Pt 0.500 0.500 0.000
Pt 0.000 0.000 0.000
Pt 0.500 0.000 0.639
Pt 0.000 0.500 0.361
Pa 0.500 0.500 0.500
Pr 0.000 0.500 0.786
Pr 0.500 0.000 0.214
Sn 0.000 0.500 0.125
Sn 0.500 0.000 0.875
Sn 0.000 0.000 0.500
CELL_PARAMETERS angstrom
4.636 0.000 0.000
0.000 4.636 0.000
0.000 0.000 11.124
! - SG = P-4m2, No. 115
! - calculated total energy (eV/atom) = -6.352
! - magnetization (μB/atom) = 0.0004
! - calculated formation energy (eV/atom) = -0.829

---

! PrPu2Pa, relaxed, DFT GGA-PBE; values from VASP
&SYSTEM
  ibrav = 0, nat = 4, ntyp = 3
/
ATOMIC_SPECIES
Pu 244.00 Pu.upf
Pr 140.91 Pr.upf
Pa 231.04 Pa.upf
ATOMIC_POSITIONS crystal
Pu 0.886 0.886 0.342
Pu 0.114 0.114 0.658
Pr 0.000 0.000 0.000
Pa 0.500 0.500 0.500
CELL_PARAMETERS angstrom
-3.516 -1.782 -0.452
-0.880 -3.223 2.140
-4.955 3.577 7.028
! - SG = R-3m, No. 166
! - calculated total energy (eV/atom) = -9.963
! - magnetization (μB/atom) = 2.8982
! - calculated formation energy (eV/atom) = 0.772
! - distance to the lowest polymorph of the same formula (eV/f.u.) = 2.539

---

! PrPu2Pa, relaxed, DFT GGA-PBE; values from VASP
&SYSTEM
  ibrav = 0, nat = 4, ntyp = 3
/
ATOMIC_SPECIES
Pu 244.00 Pu.upf
Pr 140.91 Pr.upf
Pa 231.04 Pa.upf
ATOMIC_POSITIONS crystal
Pu 0.000 0.000 0.783
Pu 0.000 0.000 0.217
Pr 0.500 0.500 0.500
Pa 0.500 0.500 0.000
CELL_PARAMETERS angstrom
-0.812 -2.557 -2.037
1.590 -2.143 2.055
-8.087 -1.321 4.880
! - SG = P4/mmm, No. 123
! - calculated total energy (eV/atom) = -10.598
! - magnetization (μB/atom) = 2.6608
! - calculated formation energy (eV/atom) = 0.137
! - distance to the lowest polymorph of the same formula (eV/f.u.) = 0.000

---

! Pr2PuPa2Rh5, relaxed, DFT GGA-PBE; values from VASP
&SYSTEM
  ibrav = 0, nat = 20, ntyp = 4
/
ATOMIC_SPECIES
Pr 140.91 Pr.upf
Pu 244.00 Pu.upf
Pa 231.04 Pa.upf
Rh 102.91 Rh.upf
ATOMIC_POSITIONS crystal
Pr 0.000 0.670 0.170
Pr 0.000 0.330 0.830
Pr 0.000 0.830 0.670
Pr 0.000 0.170 0.330
Pu 0.000 0.500 0.500
Pu 0.000 0.000 0.000
Pa 0.000 0.863 0.363
Pa 0.000 0.137 0.637
Pa 0.000 0.637 0.863
Pa 0.000 0.363 0.137
Rh 0.500 0.558 0.698
Rh 0.500 0.302 0.558
Rh 0.500 0.058 0.802
Rh 0.500 0.698 0.442
Rh 0.500 0.500 0.000
Rh 0.500 0.942 0.198
Rh 0.500 0.000 0.500
Rh 0.500 0.442 0.302
Rh 0.500 0.198 0.058
Rh 0.500 0.802 0.942
CELL_PARAMETERS angstrom
-1.553 2.783 1.631
-7.021 -6.898 5.083
7.093 -0.994 8.450
! - SG = P4/mbm, No. 127
! - calculated total energy (eV/atom) = -8.512
! - magnetization (μB/atom) = 0.5013
! - calculated formation energy (eV/atom) = -0.548

---

! Pr2PuPaRh2, relaxed, DFT GGA-PBE; values from VASP
&SYSTEM
  ibrav = 0, nat = 12, ntyp = 4
/
ATOMIC_SPECIES
Rh 102.91 Rh.upf
Pr 140.91 Pr.upf
Pa 231.04 Pa.upf
Pu 244.00 Pu.upf
ATOMIC_POSITIONS crystal
Rh 0.422 0.631 0.262
Rh 0.160 0.869 0.738
Rh 0.840 0.131 0.262
Rh 0.578 0.369 0.738
Pr 0.596 0.821 0.643
Pr 0.954 0.679 0.357
Pr 0.046 0.321 0.643
Pr 0.404 0.179 0.357
Pa 0.500 0.750 0.000
Pa 0.500 0.250 0.000
Pu 0.000 0.250 0.000
Pu 0.000 0.750 0.000
CELL_PARAMETERS angstrom
-3.544 -3.599 -3.202
-0.856 -3.502 4.884
-4.279 8.063 1.258
! - SG = Ibam, No. 72
! - calculated total energy (eV/atom) = -8.386
! - magnetization (μB/atom) = 0.9855
! - calculated formation energy (eV/atom) = -0.371

---

! Pr2PuPa2Ru5, relaxed, DFT GGA-PBE; values from VASP
&SYSTEM
  ibrav = 0, nat = 20, ntyp = 4
/
ATOMIC_SPECIES
Ru 101.07 Ru.upf
Pa 231.04 Pa.upf
Pr 140.91 Pr.upf
Pu 244.00 Pu.upf
ATOMIC_POSITIONS crystal
Ru 0.500 0.500 0.000
Ru 0.500 0.798 0.950
Ru 0.500 0.950 0.202
Ru 0.500 0.450 0.298
Ru 0.500 0.702 0.450
Ru 0.500 0.298 0.550
Ru 0.500 0.550 0.702
Ru 0.500 0.000 0.500
Ru 0.500 0.202 0.050
Ru 0.500 0.050 0.798
Pa 0.000 0.636 0.864
Pa 0.000 0.136 0.636
Pa 0.000 0.864 0.364
Pa 0.000 0.364 0.136
Pr 0.000 0.326 0.826
Pr 0.000 0.826 0.674
Pr 0.000 0.674 0.174
Pr 0.000 0.174 0.326
Pu 0.000 0.500 0.500
Pu 0.000 0.000 0.000
CELL_PARAMETERS angstrom
-2.340 1.612 -2.265
5.918 -3.248 -8.424
-5.762 -9.113 -0.534
! - SG = P4/mbm, No. 127
! - calculated total energy (eV/atom) = -9.113
! - magnetization (μB/atom) = 0.4018
! - calculated formation energy (eV/atom) = -0.186

---

! PrPuPa2Sb4, relaxed, DFT GGA-PBE; values from VASP
&SYSTEM
  ibrav = 0, nat = 8, ntyp = 4
/
ATOMIC_SPECIES
Pu 244.00 Pu.upf
Pa 231.04 Pa.upf
Sb 121.76 Sb.upf
Pr 140.91 Pr.upf
ATOMIC_POSITIONS crystal
Pu 0.000 0.000 0.000
Pa 0.500 0.000 0.500
Pa 0.000 0.500 0.500
Sb 0.000 0.244 0.740
Sb 0.500 0.249 0.257
Sb 0.000 0.756 0.260
Sb 0.500 0.751 0.743
Pr 0.500 0.500 0.000
CELL_PARAMETERS angstrom
-3.519 -1.337 2.334
0.950 -7.140 -2.658
3.990 0.859 6.509
! - SG = P2/m, No. 10
! - calculated total energy (eV/atom) = -7.504
! - magnetization (μB/atom) = 0.8955

---

! Pr2PuPaSb4, relaxed, DFT GGA-PBE; values from VASP
&SYSTEM
  ibrav = 0, nat = 8, ntyp = 4
/
ATOMIC_SPECIES
Pr 140.91 Pr.upf
Pu 244.00 Pu.upf
Sb 121.76 Sb.upf
Pa 231.04 Pa.upf
ATOMIC_POSITIONS crystal
Pr 0.500 0.000 0.500
Pr 0.000 0.500 0.500
Pu 0.000 0.000 0.000
Sb 0.500 0.250 0.239
Sb 0.000 0.743 0.238
Sb 0.500 0.750 0.761
Sb 0.000 0.257 0.762
Pa 0.500 0.500 0.000
CELL_PARAMETERS angstrom
-0.898 3.895 -2.008
-7.306 -0.389 2.513
4.342 3.715 5.263
! - SG = P2/m, No. 10
! - calculated total energy (eV/atom) = -7.107
! - magnetization (μB/atom) = 0.7546

---

! PrPu2PaSb4, relaxed, DFT GGA-PBE; values from VASP
&SYSTEM
  ibrav = 0, nat = 8, ntyp = 4
/
ATOMIC_SPECIES
Sb 121.76 Sb.upf
Pu 244.00 Pu.upf
Pa 231.04 Pa.upf
Pr 140.91 Pr.upf
ATOMIC_POSITIONS crystal
Sb 0.500 0.741 0.747
Sb 0.000 0.258 0.752
Sb 0.000 0.742 0.248
Sb 0.500 0.259 0.253
Pu 0.000 0.500 0.500
Pu 0.500 0.000 0.500
Pa 0.500 0.500 0.000
Pr 0.000 0.000 0.000
CELL_PARAMETERS angstrom
4.454 0.000 0.000
0.000 7.721 0.134
0.000 -2.688 7.188
! - SG = P2/m, No. 10
! - calculated total energy (eV/atom) = -8.159
! - magnetization (μB/atom) = 1.4504